1:
A relaxed structure of KTaCd. Source: Alexandria via LeMat-Bulk, functional GGA-PBE.

Calculated values
The total magnetic moment comes out at 0.0 μB per formula unit. As for the symmetry: P1.

a b c (Å): 16.949 3.138 3.138
angles (deg): 103.19 90.64 88.79
Fractional coordinates of all 6 atoms:
Cd 0.037 0.717 0.670
K 0.475 0.294 0.061
Ta 0.286 0.792 0.578
K 0.722 0.660 0.748
Cd 0.892 0.138 0.260
Ta 0.174 0.222 0.155

2:
A relaxed structure of KTaCd. Source: Alexandria via LeMat-Bulk, functional GGA-PBE.

Calculated values
The total magnetic moment comes out at 0.0 μB per formula unit. As for the symmetry: Cmcm.

a b c (Å): 7.194 7.194 5.156
angles (deg): 90.00 90.00 137.56
Fractional coordinates of all 6 atoms:
K 0.723 0.277 0.750
Cd 0.549 0.451 0.250
Cd 0.451 0.549 0.750
Ta 0.000 0.000 0.000
Ta 0.000 0.000 0.500
K 0.277 0.723 0.250

Most stable: 1 (next structure +0.175 eV/atom)

1:
A relaxed structure of KTaCd. Source: Alexandria via LeMat-Bulk, functional GGA-PBE.

Calculated values
The total magnetic moment comes out at 0.0 μB per formula unit. As for the symmetry: P-1.

a b c (Å): 17.035 3.081 3.081
angles (deg): 106.24 94.14 94.18
Fractional coordinates of all 6 atoms:
K 0.366 0.186 0.147
Cd 0.187 0.587 0.547
Ta 0.046 0.008 0.969
Ta 0.925 0.440 0.402
K 0.606 0.263 0.225
Cd 0.785 0.861 0.824

2:
A relaxed structure of KTaCd. Source: Alexandria via LeMat-Bulk, functional GGA-PBE.

Calculated values
The total magnetic moment comes out at 0.0 μB per formula unit. As for the symmetry: P1.

a b c (Å): 9.144 2.999 6.549
angles (deg): 103.24 84.56 90.14
Fractional coordinates of all 6 atoms:
K 0.763 0.086 0.296
Cd 0.838 0.342 0.794
Cd 0.130 0.469 0.044
Ta 0.280 0.133 0.368
K 0.470 0.862 0.831
Ta 0.104 0.760 0.627

Most stable: 1 (next structure +0.162 eV/atom)

1:
A relaxed structure of KTaCd. Source: Alexandria via LeMat-Bulk, functional GGA-PBE.

Calculated values
The total magnetic moment comes out at 0.0 μB per formula unit. As for the symmetry: P3m1.

a b c (Å): 3.033 3.033 9.005
angles (deg): 90.00 90.00 120.00
Fractional coordinates of all 3 atoms:
Ta 0.333 0.667 0.692
K 0.667 0.333 0.330
Cd 0.000 0.000 0.978

2:
A relaxed structure of KTaCd. Source: Alexandria via LeMat-Bulk, functional GGA-PBE.

Calculated values
The total magnetic moment comes out at 0.0 μB per formula unit. As for the symmetry: C2/m.

a b c (Å): 14.309 3.520 3.520
angles (deg): 90.00 90.06 90.09
Fractional coordinates of all 6 atoms:
K 0.341 0.992 0.951
Cd 0.155 0.489 0.451
Ta 0.029 0.989 0.950
Ta 0.943 0.488 0.450
Cd 0.816 0.987 0.950
K 0.630 0.487 0.448

Most stable: 2 (next structure +0.428 eV/atom)

1:
A relaxed structure of KTaCd. Source: Alexandria via LeMat-Bulk, functional GGA-PBE.

Calculated values
The total magnetic moment comes out at 0.0 μB per formula unit. As for the symmetry: Cmm2.

a b c (Å): 7.215 7.215 5.252
angles (deg): 90.00 90.00 41.80
Fractional coordinates of all 6 atoms:
K 0.500 0.500 0.755
Ta 0.000 0.500 0.757
Cd 0.703 0.703 0.257
Ta 0.500 0.000 0.757
K 0.000 0.000 0.255
Cd 0.297 0.297 0.257

2:
A relaxed structure of KTaCd. Source: Alexandria via LeMat-Bulk, functional GGA-PBE.

Calculated values
The total magnetic moment comes out at 0.0 μB per formula unit. As for the symmetry: Pm.

a b c (Å): 3.462 3.564 14.616
angles (deg): 90.00 89.96 90.00
Fractional coordinates of all 6 atoms:
K 0.287 0.000 0.452
Cd 0.791 0.500 0.047
Ta 0.790 0.500 0.253
Ta 0.290 0.000 0.171
Cd 0.291 0.000 0.924
K 0.788 0.500 0.739

3:
A relaxed structure of KTaCd. Source: Alexandria via LeMat-Bulk, functional GGA-PBE.

Calculated values
The total magnetic moment comes out at 0.0 μB per formula unit. As for the symmetry: P6_3/mmc.

a b c (Å): 5.314 5.314 6.013
angles (deg): 90.00 90.00 120.00
Fractional coordinates of all 6 atoms:
K 0.000 0.000 0.500
Ta 0.333 0.667 0.250
Cd 0.333 0.667 0.750
Ta 0.667 0.333 0.750
Cd 0.667 0.333 0.250
K 0.000 0.000 0.000

Most stable: 2 (next structure +0.266 eV/atom)

1:
A relaxed structure of KCdTc. Source: Alexandria via LeMat-Bulk, functional GGA-PBE.

Calculated values
The total magnetic moment comes out at 3.8 μB per formula unit. As for the symmetry: F-43m.

a b c (Å): 5.264 5.264 5.264
angles (deg): 60.00 60.00 60.00
Each line ends with the local moment (μB).
Fractional coordinates of all 3 atoms:
K 0.750 0.750 0.750  0.02
Cd 0.500 0.500 0.500  -0.01
Tc 0.000 0.000 0.000  3.23

2:
A relaxed structure of KCdTc. Source: Alexandria via LeMat-Bulk, functional GGA-PBE.

Calculated values
The total magnetic moment comes out at 0.0 μB per formula unit. As for the symmetry: Fmm2.

a b c (Å): 8.715 8.572 2.835
angles (deg): 83.42 77.72 18.86
Fractional coordinates of all 3 atoms:
Tc 0.657 0.657 0.343
K 0.326 0.326 0.674
Cd 0.017 0.017 0.983

3:
A relaxed structure of KCdTc. Source: Alexandria via LeMat-Bulk, functional GGA-PBE.

Calculated values
The total magnetic moment comes out at 0.0 μB per formula unit. As for the symmetry: I4mm.

a b c (Å): 8.456 8.456 8.456
angles (deg): 160.80 160.80 27.29
Fractional coordinates of all 3 atoms:
Tc 0.654 0.654 0.000
K 0.327 0.327 0.000
Cd 0.019 0.019 0.000

Most stable: 3 (next structure +0.013 eV/atom)

1:
A relaxed structure of KCdTc. Source: Alexandria via LeMat-Bulk, functional GGA-PBE.

Calculated values
The total magnetic moment comes out at 1.0 μB per formula unit. As for the symmetry: Imm2.

a b c (Å): 6.698 6.698 6.698
angles (deg): 156.66 138.41 48.23
Each line ends with the local moment (μB).
Fractional coordinates of all 3 atoms:
Cd 0.053 0.053 0.000  -0.01
Tc 0.614 0.614 0.000  0.86
K 0.333 0.333 0.000  0.00

2:
A relaxed structure of KCdTc. Source: Alexandria via LeMat-Bulk, functional GGA-PBE.

Calculated values
The total magnetic moment comes out at 0.0 μB per formula unit. As for the symmetry: P3m1.

a b c (Å): 2.923 2.923 8.555
angles (deg): 90.00 90.00 120.00
Fractional coordinates of all 3 atoms:
K 0.667 0.333 0.346
Cd 0.000 0.000 0.970
Tc 0.333 0.667 0.684

Most stable: 1 (next structure +0.045 eV/atom)

1:
A relaxed structure of K2Cd2Te. Source: Alexandria via LeMat-Bulk, functional GGA-PBE.

Calculated values
The total magnetic moment comes out at 0.0 μB per formula unit. As for the symmetry: P4/mbm.

a b c (Å): 8.282 8.282 5.289
angles (deg): 90.00 90.00 90.00
Fractional coordinates of all 10 atoms:
K 0.685 0.815 0.500
Cd 0.877 0.623 0.000
Te 0.000 0.000 0.000
Cd 0.123 0.377 0.000
Cd 0.623 0.123 0.000
K 0.315 0.185 0.500
K 0.185 0.685 0.500
Cd 0.377 0.877 0.000
Te 0.500 0.500 0.000
K 0.815 0.315 0.500

2:
A relaxed structure of K2Cd2Te. Source: Alexandria via LeMat-Bulk, functional GGA-PBE.

Calculated values
The total magnetic moment comes out at 0.0 μB per formula unit. As for the symmetry: P4/mbm.

a b c (Å): 8.762 8.762 5.595
angles (deg): 90.00 90.00 90.00
Fractional coordinates of all 10 atoms:
Cd 0.148 0.648 0.500
Cd 0.852 0.352 0.500
Cd 0.352 0.148 0.500
K 0.343 0.843 0.000
K 0.157 0.343 0.000
Cd 0.648 0.852 0.500
K 0.843 0.657 0.000
K 0.657 0.157 0.000
Te 0.000 0.000 0.000
Te 0.500 0.500 0.000

3:
A relaxed structure of K2Cd2Te. Source: Alexandria via LeMat-Bulk, functional GGA-PBE.

Calculated values
The total magnetic moment comes out at 0.0 μB per formula unit. As for the symmetry: I4/mmm.

a b c (Å): 4.289 4.289 10.842
angles (deg): 78.59 78.59 90.00
Fractional coordinates of all 5 atoms:
Cd 0.250 0.750 0.500
Cd 0.750 0.250 0.500
K 0.587 0.587 0.825
K 0.413 0.413 0.175
Te 0.000 0.000 0.000

Most stable: 3 (next structure +0.061 eV/atom)

1:
A relaxed structure of K2Cd2Te3. Source: Alexandria via LeMat-Bulk, functional GGA-PBE.

Calculated values
The total magnetic moment comes out at 0.0 μB per formula unit. As for the symmetry: C2/c.

a b c (Å): 8.061 12.161 12.161
angles (deg): 84.68 70.74 70.74
Fractional coordinates of all 28 atoms:
K 0.250 0.434 0.566
Te 0.777 0.851 0.427
Te 0.347 0.986 0.233
K 0.250 0.715 0.285
Te 0.240 0.415 0.269
Te 0.260 0.731 0.585
Te 0.740 0.269 0.415
Te 0.277 0.427 0.851
Te 0.847 0.233 0.986
Cd 0.641 0.357 0.202
Cd 0.859 0.798 0.643
Te 0.760 0.585 0.731
Cd 0.359 0.643 0.798
K 0.101 0.975 0.802
K 0.750 0.285 0.715
Cd 0.616 0.081 0.543
K 0.899 0.025 0.198
Cd 0.141 0.202 0.357
Cd 0.384 0.919 0.457
Cd 0.116 0.543 0.081
Te 0.653 0.014 0.767
Te 0.223 0.149 0.573
Cd 0.884 0.457 0.919
Te 0.723 0.573 0.149
K 0.399 0.198 0.025
K 0.750 0.566 0.434
K 0.601 0.802 0.975
Te 0.153 0.767 0.014

2:
A relaxed structure of K2Cd2Te3. Source: Alexandria via LeMat-Bulk, functional GGA-PBE.

Calculated values
The total magnetic moment comes out at 0.0 μB per formula unit. As for the symmetry: C2/m.

a b c (Å): 4.721 8.499 8.422
angles (deg): 119.82 106.28 90.00
Fractional coordinates of all 7 atoms:
Te 0.000 0.000 0.000
Te 0.197 0.663 0.395
K 0.411 0.166 0.822
K 0.589 0.834 0.178
Cd 0.190 0.311 0.379
Te 0.803 0.337 0.605
Cd 0.810 0.689 0.621

Most stable: 1 (next structure +0.038 eV/atom)

1:
A relaxed structure of KTi3Cd. Source: Alexandria via LeMat-Bulk, functional GGA-PBE.

Calculated values
The total magnetic moment comes out at 6.4 μB per formula unit. As for the symmetry: Pm-3m.

a b c (Å): 5.300 5.300 5.300
angles (deg): 90.00 90.00 90.00
Each line ends with the local moment (μB).
Fractional coordinates of all 5 atoms:
Ti 0.000 0.000 0.500  1.39
Cd 0.000 0.000 0.000  0.06
Ti 0.000 0.500 0.000  1.41
K 0.500 0.500 0.500  0.05
Ti 0.500 0.000 0.000  1.59

2:
A relaxed structure of KTi3Cd. Source: Alexandria via LeMat-Bulk, functional GGA-PBE.

Calculated values
The total magnetic moment comes out at 2.6 μB per formula unit. As for the symmetry: Pm-3m.

a b c (Å): 4.604 4.604 4.604
angles (deg): 90.00 90.00 90.00
Each line ends with the local moment (μB).
Fractional coordinates of all 5 atoms:
Cd 0.500 0.500 0.500  -0.01
K 0.000 0.000 0.000  0.19
Ti 0.500 0.000 0.000  0.68
Ti 0.000 0.000 0.500  0.75
Ti 0.000 0.500 0.000  0.66

Most stable: 1 (next structure +0.526 eV/atom)

1:
A relaxed structure of K2TlCd2. Source: Alexandria via LeMat-Bulk, functional GGA-PBE.

Calculated values
The total magnetic moment comes out at 0.0 μB per formula unit. As for the symmetry: C2/m.

a b c (Å): 5.345 6.883 11.389
angles (deg): 83.73 76.43 67.15
Fractional coordinates of all 10 atoms:
K 0.501 0.322 0.675
Cd 0.999 0.117 0.885
Cd 0.866 0.717 0.552
K 0.499 0.678 0.325
Cd 0.134 0.283 0.448
Tl 0.227 0.912 0.634
K 0.298 0.289 0.114
Tl 0.773 0.088 0.366
Cd 0.001 0.883 0.115
K 0.702 0.711 0.886

2:
A relaxed structure of K2TlCd2. Source: Alexandria via LeMat-Bulk, functional GGA-PBE.

Calculated values
The total magnetic moment comes out at 0.0 μB per formula unit. As for the symmetry: P4/mbm.

a b c (Å): 8.131 8.131 5.600
angles (deg): 90.00 90.00 90.00
Fractional coordinates of all 10 atoms:
Tl 0.000 0.000 0.000
Cd 0.630 0.130 0.000
K 0.822 0.322 0.500
Cd 0.870 0.630 0.000
Cd 0.370 0.870 0.000
K 0.678 0.822 0.500
K 0.178 0.678 0.500
K 0.322 0.178 0.500
Tl 0.500 0.500 0.000
Cd 0.130 0.370 0.000

3:
A relaxed structure of K2TlCd2. Source: Alexandria via LeMat-Bulk, functional GGA-PBE.

Calculated values
The total magnetic moment comes out at 0.0 μB per formula unit. As for the symmetry: P4/mbm.

a b c (Å): 10.275 10.275 3.545
angles (deg): 90.00 90.00 90.00
Fractional coordinates of all 10 atoms:
Cd 0.605 0.895 0.500
Cd 0.395 0.105 0.500
Tl 0.000 0.000 0.000
Tl 0.500 0.500 0.000
K 0.188 0.312 0.000
K 0.688 0.188 0.000
Cd 0.895 0.395 0.500
K 0.812 0.688 0.000
K 0.312 0.812 0.000
Cd 0.105 0.605 0.500

4:
A relaxed structure of K2TlCd2. Source: Alexandria via LeMat-Bulk, functional GGA-PBE.

Calculated values
The total magnetic moment comes out at 0.0 μB per formula unit. As for the symmetry: I4/mmm.

a b c (Å): 4.187 4.187 11.319
angles (deg): 79.34 79.34 90.00
Fractional coordinates of all 5 atoms:
Cd 0.250 0.750 0.500
K 0.606 0.606 0.787
Cd 0.750 0.250 0.500
Tl 0.000 0.000 0.000
K 0.394 0.394 0.213

Most stable: 1 (next structure +0.047 eV/atom)